First-principles (GGA+U) data for an optimized crystal structure of Sr3LaV3O12, as listed in the Alexandria database.

```
data_Sr3LaV3O12
_chemical_formula_sum 'Sr12 La4 V12 O48'
_cell_length_a 21.4196
_cell_length_b 5.6788
_cell_length_c 9.3571
_cell_angle_alpha 90.00
_cell_angle_beta 95.66
_cell_angle_gamma 90.00
_space_group_name_H-M_alt 'C 1 m 1'
_space_group_IT_number 8
loop_
_space_group_symop_operation_xyz
'x,y,z'
'x,-y,z'
'x+1/2,y+1/2,z'
'x+1/2,-y+1/2,z'
loop_
_atom_site_label
_atom_site_fract_x
_atom_site_fract_y
_atom_site_fract_z
Sr1 0.0000 0.0000 0.0000
Sr2 0.0265 0.5000 0.3458
Sr3 0.0642 0.0000 0.6632
Sr4 0.1643 0.5000 0.6600
Sr5 0.1919 0.0000 0.0138
Sr6 0.3681 0.5000 0.6590
La1 0.2441 0.5000 0.3303
La2 0.3819 0.0000 0.0312
V1 0.0986 0.5000 0.9965
V2 0.1367 0.0000 0.3399
V3 0.2614 0.0000 0.6567
V4 0.2988 0.5000 0.9969
V5 0.4266 0.5000 0.3138
V6 0.4697 0.0000 0.6796
O1 0.0262 0.5000 0.0645
O2 0.0447 0.5000 0.6185
O3 0.0873 0.0000 0.1831
O4 0.1031 0.2526 0.8884
O5 0.1244 0.2506 0.4422
O6 0.1632 0.5000 0.1302
O7 0.1886 0.0000 0.7233
O8 0.2121 0.0000 0.2880
O9 0.2429 0.5000 0.8563
O10 0.2652 0.2598 0.5572
O11 0.2932 0.2483 0.1030
O12 0.3214 0.0000 0.8000
O13 0.3538 0.5000 0.3805
O14 0.3735 0.5000 0.9401
O15 0.4172 0.0000 0.5316
O16 0.4385 0.2578 0.2034
O17 0.4607 0.2559 0.7805
O18 0.4846 0.5000 0.4537
```

Properties
For the density, the calculation gives 4.378 g/cm3. The electronic total energy comes out at -565.26 eV per cell.